Record 1
CoSbMo2 (PBE-GGA, optimized geometry); formation energy from raw total energies = 1.147 eV per atom
1.0
-2.930 2.930 5.228
2.930 -2.930 5.228
2.930 2.930 -5.228
Co Sb Mo
2 2 4
direct
0.000 0.000 0.000
0.750 0.250 0.500
0.250 0.750 0.500
0.500 0.500 0.000
0.063 0.625 0.938
0.375 0.313 0.438
0.687 0.125 0.062
0.875 0.937 0.562



Record 2
Ce2TeI (PBE-GGA, optimized geometry); formation energy from raw total energies = -0.988 eV per atom
1.0
0.000 3.880 3.880
3.880 0.000 3.880
3.880 3.880 0.000
Ce Te I
2 1 1
direct
0.250 0.250 0.250
0.750 0.750 0.750
0.000 0.000 0.000
0.500 0.500 0.500



Record 3
Ce5GeAs5 (PBE-GGA, optimized geometry); ΔE_f = -1.003 eV/atom
1.0
6.635 -2.961 0.000
6.635 2.961 0.000
-2.677 0.000 8.034
Ce Ge As
5 1 5
direct
0.000 0.000 0.000
0.332 0.332 0.661
0.338 0.338 0.174
0.662 0.662 0.826
0.668 0.668 0.339
0.500 0.500 0.000
0.173 0.173 0.329
0.174 0.174 0.847
0.500 0.500 0.500
0.826 0.826 0.153
0.827 0.827 0.671



Record 4
Hf4Te (PBE-GGA, optimized geometry); formation energy from raw total energies = -0.168 eV per atom
1.0
-4.304 4.304 3.144
4.304 -4.304 3.144
4.304 4.304 -3.144
Hf Te
8 2
direct
0.051 0.933 0.737
0.063 0.446 0.763
0.067 0.804 0.118
0.196 0.313 0.263
0.554 0.317 0.618
0.683 0.301 0.237
0.687 0.949 0.882
0.699 0.937 0.382
0.250 0.750 0.500
0.500 0.500 0.000



Record 5
LiTbH4 (PBE-GGA, optimized geometry); final energy = -3.70 eV per atom
1.0
3.638 0.000 0.000
0.000 3.638 0.000
0.000 0.000 4.960
Li Tb H
1 1 4
direct
0.000 0.000 0.000
0.500 0.500 0.500
0.000 0.500 0.246
0.000 0.500 0.754
0.500 0.000 0.246
0.500 0.000 0.754



Record 6
Ta2BePbW (PBE-GGA, optimized geometry); ΔE_f = 1.389 eV/atom
1.0
4.961 0.000 0.000
0.000 4.961 0.000
0.000 0.000 4.434
Ta Be Pb W
2 1 1 1
direct
0.000 0.500 0.000
0.500 0.000 0.000
0.000 0.000 0.500
0.500 0.500 0.500
0.000 0.000 0.000